Ac2As2Rh5 | PBE-GGA | relaxed

Values from the calculation:
- total energy (eV for the cell shown) = -60.8
- total magnetization (Bohr magnetons per cell) = 0.0
- crystal system = tetragonal

The structure in POSCAR format:
```
Ac2As2Rh5
1.0
-3.701 -2.276 -0.601
2.349 -3.500 -1.214
0.317 -2.832 8.776
Rh Ac As
5 2 2
Direct
0.000 0.500 0.266
0.500 0.500 0.500
0.500 0.000 0.734
0.000 0.500 0.734
0.500 0.000 0.266
0.000 0.000 0.000
0.000 0.000 0.500
0.500 0.500 0.839
0.500 0.500 0.161
```

ThReSi2Ir | PBE-GGA | relaxed

Values from the calculation:
- total energy (eV for the cell shown) = -43.6
- total magnetization (Bohr magnetons per cell) = 0.0
- crystal system = tetragonal
- raw formation energy (eV/atom) = -0.812

The structure in POSCAR format:
```
ThReSi2Ir
1.0
-1.777 -1.442 -3.566
3.250 -2.663 -0.542
-3.135 -1.402 4.646
Ir Si Th Re
1 2 1 1
Direct
0.250 0.750 0.500
0.372 0.372 0.744
0.628 0.628 0.256
0.000 0.000 0.000
0.750 0.250 0.500
```

Density of states at the Fermi level in states/eV per atom, matching the order above: 0.363 0.796